LiLu2W2Cl2O8, relaxed, DFT PBE+U; SG = P1, No. 1
1.0
-5.035 -1.047 -2.669
0.866 -0.819 -6.645
1.372 -7.101 -0.584
Li Lu W Cl O
1 2 2 2 8
direct
0.054 0.671 0.883 Li
0.270 0.203 0.840 Lu
0.690 0.788 0.203 Lu
0.364 0.361 0.283 W
0.582 0.653 0.745 W
0.020 0.992 0.110 Cl
0.126 0.944 0.650 Cl
0.368 0.278 0.537 O
0.650 0.748 0.497 O
0.407 0.468 0.850 O
0.562 0.516 0.228 O
0.921 0.461 0.818 O
0.053 0.535 0.194 O
0.444 0.132 0.162 O
0.583 0.860 0.900 O

---

LiLu2W2Cl2O8, relaxed, DFT PBE+U; SG = P1, No. 1
1.0
5.942 -0.181 0.397
1.501 6.693 0.043
2.904 1.710 6.256
Li Lu W Cl O
1 2 2 2 8
direct
0.134 0.572 0.741 Li
0.675 0.203 0.771 Lu
0.324 0.799 0.218 Lu
0.610 0.783 0.648 W
0.400 0.197 0.353 W
0.121 0.786 0.951 Cl
0.889 0.270 0.004 Cl
0.526 0.511 0.697 O
0.422 0.476 0.286 O
0.571 0.119 0.547 O
0.473 0.874 0.414 O
0.071 0.183 0.545 O
0.968 0.737 0.508 O
0.628 0.861 0.881 O
0.375 0.149 0.115 O

---

| no. | energy (eV per atom) | distance to the lowest polymorph of the same formula (meV per atom) |
| --- | --- | --- |
| 1 | -6.987 | 30 |
| 2 | -7.017 | 0 |